1.
A geometry-optimized Tb2H2Pt3 structure, computed with GGA-PBE.

Geometry as CIF:
```
data_Tb2H2Pt3
_chemical_formula_sum 'Tb2 H2 Pt3'
_cell_length_a 4.528
_cell_length_b 3.639
_cell_length_c 7.016
_cell_angle_alpha 90.00
_cell_angle_beta 93.94
_cell_angle_gamma 90.00
_symmetry_space_group_name_H-M 'P 1'
_symmetry_Int_Tables_number 1
loop_
_symmetry_equiv_pos_as_xyz
'x,y,z'
loop_
_atom_site_label
_atom_site_type_symbol
_atom_site_fract_x
_atom_site_fract_y
_atom_site_fract_z
_atom_site_occupancy
Tb1 Tb 0.276 0.500 0.723 1
Tb2 Tb 0.724 0.500 0.277 1
H1 H 0.350 0.000 0.140 1
H2 H 0.650 0.000 0.860 1
Pt1 Pt 0.234 0.000 0.377 1
Pt2 Pt 0.000 0.000 0.000 1
Pt3 Pt 0.766 0.000 0.623 1
```

***

2.
A geometry-optimized TbH12Pt6 structure, computed with GGA-PBE.

Geometry as CIF:
```
data_TbH12Pt6
_chemical_formula_sum 'Tb1 H12 Pt6'
_cell_length_a 6.235
_cell_length_b 6.235
_cell_length_c 6.235
_cell_angle_alpha 111.00
_cell_angle_beta 111.00
_cell_angle_gamma 111.00
_symmetry_space_group_name_H-M 'P 1'
_symmetry_Int_Tables_number 1
loop_
_symmetry_equiv_pos_as_xyz
'x,y,z'
loop_
_atom_site_label
_atom_site_type_symbol
_atom_site_fract_x
_atom_site_fract_y
_atom_site_fract_z
_atom_site_occupancy
Tb1 Tb 0.000 0.000 0.000 1
H1 H 0.434 0.179 0.460 1
H2 H 0.179 0.460 0.434 1
H3 H 0.460 0.434 0.179 1
H4 H 0.566 0.821 0.540 1
H5 H 0.821 0.540 0.566 1
H6 H 0.540 0.566 0.821 1
H7 H 0.182 0.986 0.641 1
H8 H 0.359 0.818 0.014 1
H9 H 0.014 0.359 0.818 1
H10 H 0.818 0.014 0.359 1
H11 H 0.641 0.182 0.986 1
H12 H 0.986 0.641 0.182 1
Pt1 Pt 0.168 0.273 0.586 1
Pt2 Pt 0.727 0.414 0.832 1
Pt3 Pt 0.414 0.832 0.727 1
Pt4 Pt 0.832 0.727 0.414 1
Pt5 Pt 0.273 0.586 0.168 1
Pt6 Pt 0.586 0.168 0.273 1
```

***

3.
A geometry-optimized TbH6Pt3 structure, computed with GGA-PBE.

Geometry as CIF:
```
data_TbH6Pt3
_chemical_formula_sum 'Tb1 H6 Pt3'
_cell_length_a 4.794
_cell_length_b 4.771
_cell_length_c 6.209
_cell_angle_alpha 83.85
_cell_angle_beta 125.75
_cell_angle_gamma 113.10
_symmetry_space_group_name_H-M 'P 1'
_symmetry_Int_Tables_number 1
loop_
_symmetry_equiv_pos_as_xyz
'x,y,z'
loop_
_atom_site_label
_atom_site_type_symbol
_atom_site_fract_x
_atom_site_fract_y
_atom_site_fract_z
_atom_site_occupancy
Tb1 Tb 0.764 0.927 0.691 1
H1 H 0.196 0.367 0.561 1
H2 H 0.269 0.921 0.191 1
H3 H 0.891 0.813 0.340 1
H4 H 0.343 0.896 0.825 1
H5 H 0.925 0.480 0.822 1
H6 H 0.529 0.448 0.339 1
Pt1 Pt 0.547 0.314 0.861 1
Pt2 Pt 0.394 0.683 0.078 1
Pt3 Pt 0.142 0.151 0.292 1
```

***

4.
A geometry-optimized Tb3H12Pt5 structure, computed with GGA-PBE.

Geometry as CIF:
```
data_Tb3H12Pt5
_chemical_formula_sum 'Tb12 H48 Pt20'
_cell_length_a 10.318
_cell_length_b 10.318
_cell_length_c 10.318
_cell_angle_alpha 109.47
_cell_angle_beta 109.47
_cell_angle_gamma 109.47
_symmetry_space_group_name_H-M 'P 1'
_symmetry_Int_Tables_number 1
loop_
_symmetry_equiv_pos_as_xyz
'x,y,z'
loop_
_atom_site_label
_atom_site_type_symbol
_atom_site_fract_x
_atom_site_fract_y
_atom_site_fract_z
_atom_site_occupancy
Tb1 Tb 0.750 0.375 0.125 1
Tb2 Tb 0.875 0.750 0.125 1
Tb3 Tb 0.375 0.750 0.625 1
Tb4 Tb 0.250 0.125 0.375 1
Tb5 Tb 0.875 0.125 0.250 1
Tb6 Tb 0.375 0.625 0.250 1
Tb7 Tb 0.625 0.375 0.750 1
Tb8 Tb 0.125 0.875 0.750 1
Tb9 Tb 0.750 0.875 0.625 1
Tb10 Tb 0.625 0.250 0.375 1
Tb11 Tb 0.125 0.250 0.875 1
Tb12 Tb 0.250 0.625 0.875 1
Pt1 Pt 0.125 0.375 0.250 1
Pt2 Pt 0.000 0.500 0.000 1
Pt3 Pt 0.000 0.000 0.000 1
Pt4 Pt 0.375 0.250 0.125 1
Pt5 Pt 0.500 0.000 0.500 1
Pt6 Pt 0.500 0.500 0.000 1
Pt7 Pt 0.125 0.750 0.375 1
Pt8 Pt 0.750 0.125 0.875 1
Pt9 Pt 0.750 0.625 0.375 1
Pt10 Pt 0.375 0.125 0.750 1
Pt11 Pt 0.625 0.875 0.250 1
Pt12 Pt 0.500 0.500 0.500 1
Pt13 Pt 0.500 0.000 0.000 1
Pt14 Pt 0.000 0.000 0.500 1
Pt15 Pt 0.250 0.375 0.625 1
Pt16 Pt 0.250 0.875 0.125 1
Pt17 Pt 0.000 0.500 0.500 1
Pt18 Pt 0.875 0.250 0.625 1
Pt19 Pt 0.625 0.750 0.875 1
Pt20 Pt 0.875 0.625 0.750 1
H1 H 0.690 0.107 0.013 1
H2 H 0.324 0.513 0.406 1
H3 H 0.987 0.393 0.310 1
H4 H 0.513 0.190 0.107 1
H5 H 0.583 0.690 0.676 1
H6 H 0.987 0.594 0.176 1
H7 H 0.324 0.810 0.417 1
H8 H 0.094 0.917 0.107 1
H9 H 0.594 0.987 0.676 1
H10 H 0.690 0.583 0.176 1
H11 H 0.810 0.487 0.393 1
H12 H 0.824 0.906 0.013 1
H13 H 0.107 0.690 0.513 1
H14 H 0.393 0.406 0.083 1
H15 H 0.083 0.906 0.393 1
H16 H 0.417 0.107 0.594 1
H17 H 0.083 0.176 0.190 1
H18 H 0.487 0.676 0.094 1
H19 H 0.824 0.917 0.310 1
H20 H 0.107 0.417 0.094 1
H21 H 0.393 0.987 0.810 1
H22 H 0.594 0.607 0.417 1
H23 H 0.906 0.824 0.513 1
H24 H 0.810 0.324 0.917 1
H25 H 0.406 0.393 0.583 1
H26 H 0.094 0.176 0.487 1
H27 H 0.190 0.676 0.083 1
H28 H 0.176 0.083 0.690 1
H29 H 0.607 0.013 0.190 1
H30 H 0.893 0.583 0.906 1
H31 H 0.513 0.324 0.906 1
H32 H 0.583 0.893 0.406 1
H33 H 0.917 0.824 0.810 1
H34 H 0.917 0.094 0.607 1
H35 H 0.893 0.310 0.487 1
H36 H 0.176 0.094 0.987 1
H37 H 0.607 0.594 0.917 1
H38 H 0.406 0.013 0.324 1
H39 H 0.310 0.417 0.824 1
H40 H 0.190 0.513 0.607 1
H41 H 0.906 0.083 0.893 1
H42 H 0.676 0.190 0.583 1
H43 H 0.487 0.810 0.893 1
H44 H 0.013 0.406 0.824 1
H45 H 0.417 0.310 0.324 1
H46 H 0.013 0.607 0.690 1
H47 H 0.676 0.487 0.594 1
H48 H 0.310 0.893 0.987 1
```

***

| no. | energy (eV per atom) |
| --- | --- |
| 1 | -5.715 |
| 2 | -4.385 |
| 3 | -4.601 |
| 4 | -4.536 |